No. 1
Entry from Alexandria: a geometry-optimized La3P4Rh4 structure (PBE).

Computed properties:
- theoretical density (g/cm3) = 7.67
- M_tot (μB per formula unit) = 0.0
- electronic total energy (eV/atom) = -7.2135
- crystal system = orthorhombic

a = 4.0672 Å, b = 4.1228 Å, c = 24.5806 Å
α = 90.00°, β = 90.00°, γ = 90.00°
Space group Immm (No. 71)
Inequivalent atoms, fractional coordinates:
La (0.0000, 0.0000, 0.0000) [2 per cell]
La (0.0000, 0.5000, 0.1447) [4 per cell]
P (0.0000, 0.0000, 0.4516) [4 per cell]
P (0.0000, 0.5000, 0.3057) [4 per cell]
Rh (0.0000, 0.0000, 0.2474) [4 per cell]
Rh (0.0000, 0.5000, 0.4024) [4 per cell]

=====

No. 2
Entry from Alexandria: a geometry-optimized LaP2Rh structure (PBE).

Computed properties:
- relative energy among the computed polymorphs (eV/atom) = 0.3972
- theoretical density (g/cm3) = 6.50
- M_tot (μB per formula unit) = 0.0
- electronic total energy (eV/atom) = -6.4747
- crystal system = orthorhombic

a = 3.5448 Å, b = 3.6137 Å, c = 12.1095 Å
α = 90.00°, β = 90.00°, γ = 90.00°
Space group Imm2 (No. 44)
Inequivalent atoms, fractional coordinates:
La (0.0000, 0.0000, 0.0000) [2 per cell]
P (0.0000, 0.0000, 0.6194) [2 per cell]
P (0.0000, 0.5000, 0.8050) [2 per cell]
Rh (0.0000, 0.5000, 0.2459) [2 per cell]

=====

No. 3
Entry from Alexandria: a geometry-optimized LaP2Rh structure (PBE).

Computed properties:
- relative energy among the computed polymorphs (eV/atom) = 0.6589
- theoretical density (g/cm3) = 6.68
- M_tot (μB per formula unit) = 0.0
- electronic total energy (eV/atom) = -6.2129
- crystal system = orthorhombic

a = 5.6386 Å, b = 6.8145 Å, c = 3.9303 Å
α = 90.00°, β = 90.00°, γ = 90.00°
Space group Cmmm (No. 65)
Inequivalent atoms, fractional coordinates:
La (0.0000, 0.0000, 0.0000) [2 per cell]
P (0.2500, 0.2500, 0.5000) [4 per cell]
Rh (0.0000, 0.5000, 0.0000) [2 per cell]

=====

No. 4
Entry from Alexandria: a geometry-optimized LaP2Rh structure (PBE).

Computed properties:
- relative energy among the computed polymorphs (eV/atom) = 0.0261
- theoretical density (g/cm3) = 6.30
- M_tot (μB per formula unit) = 0.0
- electronic total energy (eV/atom) = -6.8457
- crystal system = monoclinic

a = 4.4926 Å, b = 3.9817 Å, c = 4.5412 Å
α = 90.00°, β = 99.70°, γ = 90.00°
Space group P2/m (No. 10)
Inequivalent atoms, fractional coordinates:
La (0.0000, 0.0000, 0.0000) [1 per cell]
P (0.2453, 0.5000, 0.6221) [2 per cell]
Rh (0.5000, 0.0000, 0.5000) [1 per cell]

=====

No. 5
Entry from Alexandria: a geometry-optimized LaP2Rh2 structure (PBE).

Computed properties:
- theoretical density (g/cm3) = 7.81
- M_tot (μB per formula unit) = 0.0
- electronic total energy (eV/atom) = -6.5353
- crystal system = tetragonal

a = 7.4777 Å, b = 7.4777 Å, c = 3.0941 Å
α = 90.00°, β = 90.00°, γ = 90.00°
Space group P4/mbm (No. 127)
Inequivalent atoms, fractional coordinates:
La (0.0000, 0.0000, 0.0000) [2 per cell]
P (0.1424, 0.3576, 0.5000) [4 per cell]
Rh (0.1252, 0.6252, 0.0000) [4 per cell]

=====

No. 6
Entry from Alexandria: a geometry-optimized LaP2Rh structure (PBE).

Computed properties:
- relative energy among the computed polymorphs (eV/atom) = 0.6313
- theoretical density (g/cm3) = 6.82
- M_tot (μB per formula unit) = 0.0
- electronic total energy (eV/atom) = -6.2405
- crystal system = cubic

a = 6.6631 Å, b = 6.6631 Å, c = 6.6631 Å
α = 90.00°, β = 90.00°, γ = 90.00°
Space group Fm-3m (No. 225)
Inequivalent atoms, fractional coordinates:
La (0.0000, 0.0000, 0.0000) [4 per cell]
P (0.2500, 0.2500, 0.2500) [8 per cell]
Rh (0.0000, 0.0000, 0.5000) [4 per cell]

=====

No. 7
Entry from Alexandria: a geometry-optimized LaP4Rh structure (PBE).

Computed properties:
- theoretical density (g/cm3) = 5.81
- M_tot (μB per formula unit) = 0.0
- electronic total energy (eV/atom) = -5.6817
- crystal system = cubic

a = 7.4771 Å, b = 7.4771 Å, c = 7.4771 Å
α = 90.00°, β = 90.00°, γ = 90.00°
Space group F-43m (No. 216)
Inequivalent atoms, fractional coordinates:
La (0.0000, 0.0000, 0.0000) [4 per cell]
P (0.1132, 0.1132, 0.6132) [16 per cell]
Rh (0.2500, 0.2500, 0.2500) [4 per cell]

=====

No. 8
Entry from Alexandria: a geometry-optimized LaP2Rh structure (PBE).

Computed properties:
- relative energy among the computed polymorphs (eV/atom) = 0.8874
- theoretical density (g/cm3) = 6.68
- M_tot (μB per formula unit) = 0.0
- electronic total energy (eV/atom) = -5.9844
- crystal system = cubic

a = 6.7089 Å, b = 6.7089 Å, c = 6.7089 Å
α = 90.00°, β = 90.00°, γ = 90.00°
Space group F-43m (No. 216)
Inequivalent atoms, fractional coordinates:
La (0.0000, 0.0000, 0.0000) [4 per cell]
P (0.0000, 0.0000, 0.5000) [4 per cell]
P (0.2500, 0.2500, 0.2500) [4 per cell]
Rh (0.2500, 0.2500, 0.7500) [4 per cell]

=====

No. 9
Entry from Alexandria: a geometry-optimized LaPRh2 structure (PBE).

Computed properties:
- theoretical density (g/cm3) = 8.47
- M_tot (μB per formula unit) = 0.2
- electronic total energy (eV/atom) = -6.4735
- crystal system = cubic

a = 6.6546 Å, b = 6.6546 Å, c = 6.6546 Å
α = 90.00°, β = 90.00°, γ = 90.00°
Space group F-43m (No. 216)
Inequivalent atoms, fractional coordinates:
La (0.0000, 0.0000, 0.0000) [4 per cell]
P (0.2500, 0.2500, 0.2500) [4 per cell]
Rh (0.0000, 0.0000, 0.5000) [4 per cell]
Rh (0.2500, 0.2500, 0.7500) [4 per cell]

=====

No. 10
Entry from Alexandria: a geometry-optimized LaPRh3 structure (PBE).

Computed properties:
- relative energy among the computed polymorphs (eV/atom) = 2.2188
- theoretical density (g/cm3) = 6.89
- M_tot (μB per formula unit) = 0.0
- electronic total energy (eV/atom) = -5.1671
- crystal system = cubic

a = 4.8683 Å, b = 4.8683 Å, c = 4.8683 Å
α = 90.00°, β = 90.00°, γ = 90.00°
Space group Pm-3m (No. 221)
Inequivalent atoms, fractional coordinates:
La (0.0000, 0.0000, 0.0000) [1 per cell]
P (0.5000, 0.5000, 0.5000) [1 per cell]
Rh (0.0000, 0.0000, 0.5000) [3 per cell]

=====

No. 11
Entry from Alexandria: a geometry-optimized LaP2RuRh5 structure (PBE).

Computed properties:
- theoretical density (g/cm3) = 8.21
- M_tot (μB per formula unit) = 1.8
- electronic total energy (eV/atom) = -7.1202
- crystal system = tetragonal

a = 4.0169 Å, b = 4.0169 Å, c = 10.2364 Å
α = 90.00°, β = 90.00°, γ = 90.00°
Space group P4/mmm (No. 123)
Inequivalent atoms, fractional coordinates:
La (0.0000, 0.0000, 0.0000) [1 per cell]
P (0.5000, 0.5000, 0.2219) [2 per cell]
Ru (0.5000, 0.5000, 0.5000) [1 per cell]
Rh (0.0000, 0.5000, 0.3351) [4 per cell]
Rh (0.5000, 0.5000, 0.0000) [1 per cell]

=====

No. 12
Entry from Alexandria: a geometry-optimized La2P4RuRh3 structure (PBE).

Computed properties:
- theoretical density (g/cm3) = 7.90
- M_tot (μB per formula unit) = 0.0
- electronic total energy (eV/atom) = -7.3945
- crystal system = tetragonal

a = 4.2104 Å, b = 4.2104 Å, c = 9.6258 Å
α = 90.00°, β = 90.00°, γ = 90.00°
Space group P-4m2 (No. 115)
Inequivalent atoms, fractional coordinates:
La (0.0000, 0.5000, 0.2393) [2 per cell]
P (0.0000, 0.0000, 0.0000) [1 per cell]
P (0.0000, 0.5000, 0.6316) [2 per cell]
P (0.5000, 0.5000, 0.0000) [1 per cell]
Ru (0.0000, 0.0000, 0.5000) [1 per cell]
Rh (0.0000, 0.5000, 0.8880) [2 per cell]
Rh (0.5000, 0.5000, 0.5000) [1 per cell]

=====

No. 13
Entry from Alexandria: a geometry-optimized LaPRhS2 structure (PBE).

Computed properties:
- relative energy among the computed polymorphs (eV/atom) = 0.0000
- E_form (uncorrected) (meV/atom) = -759
- theoretical density (g/cm3) = 5.36
- M_tot (μB per formula unit) = 0.0
- electronic total energy (eV/atom) = -5.9477
- crystal system = tetragonal

a = 4.8831 Å, b = 4.8831 Å, c = 4.3793 Å
α = 90.00°, β = 90.00°, γ = 90.00°
Space group P4/mmm (No. 123)
Inequivalent atoms, fractional coordinates:
La (0.0000, 0.0000, 0.0000) [1 per cell]
P (0.5000, 0.5000, 0.0000) [1 per cell]
Rh (0.5000, 0.5000, 0.5000) [1 per cell]
S (0.0000, 0.5000, 0.5000) [2 per cell]

=====

No. 14
Entry from Alexandria: a geometry-optimized La4PRhS2 structure (PBE).

Computed properties:
- E_form (uncorrected) (meV/atom) = -1614
- theoretical density (g/cm3) = 5.89
- M_tot (μB per formula unit) = 0.0
- electronic total energy (eV/atom) = -6.7043
- crystal system = monoclinic

a = 7.3244 Å, b = 4.1702 Å, c = 7.3351 Å
α = 90.00°, β = 108.42°, γ = 90.00°
Space group P2/m (No. 10)
Inequivalent atoms, fractional coordinates:
La (0.2405, 0.0000, 0.2522) [2 per cell]
La (0.2440, 0.5000, 0.7477) [2 per cell]
P (0.0000, 0.5000, 0.0000) [1 per cell]
Rh (0.0000, 0.0000, 0.5000) [1 per cell]
S (0.5000, 0.0000, 0.0000) [1 per cell]
S (0.5000, 0.5000, 0.5000) [1 per cell]

=====

No. 15
Entry from Alexandria: a geometry-optimized LaPRhS2 structure (PBE).

Computed properties:
- relative energy among the computed polymorphs (eV/atom) = 1.5370
- E_form (uncorrected) (meV/atom) = 778
- theoretical density (g/cm3) = 3.45
- M_tot (μB per formula unit) = 3.8
- electronic total energy (eV/atom) = -4.4108
- crystal system = tetragonal

a = 5.4259 Å, b = 5.4259 Å, c = 5.5030 Å
α = 90.00°, β = 90.00°, γ = 90.00°
Space group P4/mmm (No. 123)
Inequivalent atoms, fractional coordinates:
La (0.0000, 0.0000, 0.0000) [1 per cell]
P (0.0000, 0.0000, 0.5000) [1 per cell]
Rh (0.5000, 0.5000, 0.5000) [1 per cell]
S (0.0000, 0.5000, 0.0000) [2 per cell]

=====

No. 16
Entry from Alexandria: a geometry-optimized La2SbP3Rh4 structure (PBE).

Computed properties:
- E_form (uncorrected) (meV/atom) = -977
- theoretical density (g/cm3) = 8.20
- M_tot (μB per formula unit) = 0.0
- electronic total energy (eV/atom) = -6.9385
- crystal system = tetragonal

a = 4.2325 Å, b = 4.2325 Å, c = 10.2249 Å
α = 90.00°, β = 90.00°, γ = 90.00°
Space group P-4m2 (No. 115)
Inequivalent atoms, fractional coordinates:
La (0.0000, 0.5000, 0.2406) [2 per cell]
Sb (0.0000, 0.0000, 0.5000) [1 per cell]
P (0.0000, 0.5000, 0.8704) [2 per cell]
P (0.5000, 0.5000, 0.5000) [1 per cell]
Rh (0.0000, 0.0000, 0.0000) [1 per cell]
Rh (0.0000, 0.5000, 0.6407) [2 per cell]
Rh (0.5000, 0.5000, 0.0000) [1 per cell]

=====

No. 17
Entry from Alexandria: a geometry-optimized La2SiPRh6 structure (PBE).

Computed properties:
- E_form (uncorrected) (meV/atom) = -762
- theoretical density (g/cm3) = 8.53
- M_tot (μB per formula unit) = 0.0
- electronic total energy (eV/atom) = -7.2413
- crystal system = orthorhombic

a = 5.7130 Å, b = 8.6939 Å, c = 7.4786 Å
α = 90.00°, β = 90.00°, γ = 90.00°
Space group Pmmn (No. 59, origin choice 2)
Inequivalent atoms, fractional coordinates:
La (0.2500, 0.0167, 0.2186) [4 per cell]
Si (0.2500, 0.7500, 0.7696) [2 per cell]
P (0.2500, 0.2500, 0.7379) [2 per cell]
Rh (0.0079, 0.7500, 0.0303) [4 per cell]
Rh (0.0108, 0.7500, 0.4941) [4 per cell]
Rh (0.2500, 0.5016, 0.6198) [4 per cell]

=====

No. 18
Entry from Alexandria: a geometry-optimized LaSiPRh6 structure (PBE).

Computed properties:
- E_form (uncorrected) (meV/atom) = -336
- theoretical density (g/cm3) = 8.53
- M_tot (μB per formula unit) = 0.0
- electronic total energy (eV/atom) = -6.9883
- crystal system = orthorhombic

a = 6.2519 Å, b = 8.9679 Å, c = 11.3197 Å
α = 90.00°, β = 90.00°, γ = 90.00°
Space group Imma (No. 74)
Inequivalent atoms, fractional coordinates:
La (0.0000, 0.2500, 0.1757) [4 per cell]
Si (0.2500, 0.2500, 0.7500) [4 per cell]
P (0.0000, 0.0000, 0.5000) [4 per cell]
Rh (0.0000, 0.2500, 0.4384) [4 per cell]
Rh (0.0000, 0.2500, 0.8994) [4 per cell]
Rh (0.2420, 0.0153, 0.8684) [16 per cell]

=====

No. 19
Entry from Alexandria: a geometry-optimized LaSm2P3Rh12 structure (PBE).

Computed properties:
- theoretical density (g/cm3) = 9.62
- M_tot (μB per formula unit) = 0.0
- electronic total energy (eV/atom) = -6.9641
- crystal system = trigonal

a = 9.0619 Å, b = 9.0619 Å, c = 12.8713 Å
α = 90.00°, β = 90.00°, γ = 120.00°
Space group R-3m (No. 166, hexagonal axes)
Inequivalent atoms, fractional coordinates:
La (0.0000, 0.0000, 0.0000) [3 per cell]
Sm (0.0000, 0.0000, 0.3717) [6 per cell]
P (0.0000, 0.5000, 0.5000) [9 per cell]
Rh (0.0118, 0.5059, 0.3265) [18 per cell]
Rh (0.0270, 0.5135, 0.8821) [18 per cell]

=====

No. 20
Entry from Alexandria: a geometry-optimized LaSmP2Rh5 structure (PBE).

Computed properties:
- theoretical density (g/cm3) = 9.19
- M_tot (μB per formula unit) = 0.0
- electronic total energy (eV/atom) = -7.3220
- crystal system = tetragonal

a = 4.1740 Å, b = 4.1740 Å, c = 8.9808 Å
α = 90.00°, β = 90.00°, γ = 90.00°
Space group P4/mmm (No. 123)
Inequivalent atoms, fractional coordinates:
La (0.0000, 0.0000, 0.0000) [1 per cell]
Sm (0.0000, 0.0000, 0.5000) [1 per cell]
P (0.5000, 0.5000, 0.1575) [2 per cell]
Rh (0.0000, 0.5000, 0.2632) [4 per cell]
Rh (0.5000, 0.5000, 0.5000) [1 per cell]